Material: BaTaCuOs2
Method: DFT, PBE-GGA
State: relaxed

a = 4.814 Å, b = 4.601 Å, c = 4.814 Å
α = 90.00°, β = 90.00°, γ = 90.00°
Sites, in units of the cell vectors:
Os 0.000 0.000 0.500
Os 0.500 0.000 0.000
Ba 0.500 0.500 0.500
Cu 0.000 0.000 0.000
Ta 0.000 0.500 0.000

Summary:
The value obtained for the calculated total energy is -32.37 eV for the cell shown. As for the space group: P4/mmm (123). For the calculated volume, the calculation gives 106.64 Å³ per cell. The size of the total moment comes out at 0.00 Bohr magnetons per cell. Its crystal system is tetragonal. The formation energy is 1.593 eV/atom.

=====

Material: Mg14ZnCo
Method: DFT, PBE-GGA
State: relaxed

a = 6.189 Å, b = 6.189 Å, c = 10.053 Å
α = 90.00°, β = 90.00°, γ = 119.34°
Sites, in units of the cell vectors:
Mg 0.835 0.165 0.000
Mg 0.335 0.665 0.000
Mg 0.351 0.146 0.500
Mg 0.329 0.168 0.000
Mg 0.854 0.649 0.500
Mg 0.832 0.671 0.000
Mg 0.166 0.347 0.280
Mg 0.166 0.347 0.720
Mg 0.653 0.834 0.280
Mg 0.653 0.834 0.720
Mg 0.665 0.335 0.248
Mg 0.665 0.335 0.752
Mg 0.167 0.833 0.256
Mg 0.167 0.833 0.744
Zn 0.834 0.166 0.500
Co 0.326 0.674 0.500

Summary:
The value obtained for the calculated total energy is -30.01 eV for the cell shown. As for the space group: Amm2 (38). For the calculated volume, the calculation gives 335.71 Å³ per cell. The size of the total moment comes out at 0.81 Bohr magnetons per cell. Its crystal system is orthorhombic. The formation energy is 0.043 eV/atom.

=====

Material: SiRu2
Method: DFT, PBE-GGA
State: relaxed

a = 5.138 Å, b = 5.138 Å, c = 7.974 Å
α = 90.00°, β = 90.00°, γ = 120.00°
Sites, in units of the cell vectors:
Ru 0.000 0.000 0.000
Ru 0.000 0.000 0.500
Ru 0.824 0.648 0.250
Ru 0.176 0.352 0.750
Ru 0.352 0.176 0.250
Ru 0.824 0.176 0.250
Ru 0.176 0.824 0.750
Ru 0.648 0.824 0.750
Si 0.333 0.667 0.081
Si 0.667 0.333 0.581
Si 0.667 0.333 0.919
Si 0.333 0.667 0.419

Summary:
The value obtained for the calculated total energy is -90.33 eV for the cell shown. As for the space group: P6_3/mmc (194). For the calculated volume, the calculation gives 182.32 Å³ per cell. The size of the total moment comes out at 0.00 Bohr magnetons per cell. Its crystal system is hexagonal.

=====

Material: Be2BIr2
Method: DFT, PBE-GGA
State: relaxed

a = 2.836 Å, b = 2.836 Å, c = 6.700 Å
α = 77.78°, β = 77.78°, γ = 90.00°
Sites, in units of the cell vectors:
Be 0.750 0.250 0.500
Be 0.250 0.750 0.500
B 0.000 0.000 0.000
Ir 0.397 0.397 0.207
Ir 0.603 0.603 0.793

Summary:
The value obtained for the calculated total energy is -32.54 eV for the cell shown. As for the space group: I4/mmm (139). For the calculated volume, the calculation gives 51.40 Å³ per cell. The size of the total moment comes out at 0.00 Bohr magnetons per cell. Its crystal system is tetragonal. The formation energy is -0.138 eV/atom.

=====

Material: NdCuS2O8
Method: DFT, PBE-GGA
State: relaxed

a = 5.177 Å, b = 5.177 Å, c = 7.095 Å
α = 90.00°, β = 90.00°, γ = 120.00°
Sites, in units of the cell vectors:
Nd 0.000 0.000 0.500
Cu 0.000 0.000 0.000
S 0.333 0.667 0.708
S 0.667 0.333 0.292
O 0.176 0.351 0.773
O 0.176 0.824 0.773
O 0.649 0.824 0.773
O 0.351 0.176 0.227
O 0.667 0.333 0.504
O 0.333 0.667 0.496
O 0.824 0.649 0.227
O 0.824 0.176 0.227

Summary:
The value obtained for the calculated total energy is -76.84 eV for the cell shown. As for the space group: P-3m1 (164). For the calculated volume, the calculation gives 164.71 Å³ per cell. The size of the total moment comes out at 0.11 Bohr magnetons per cell. Its crystal system is trigonal.

=====

Material: Tb2Pm2Co
Method: DFT, PBE-GGA
State: relaxed

a = 7.393 Å, b = 6.918 Å, c = 8.072 Å
α = 72.59°, β = 55.95°, γ = 57.70°
Sites, in units of the cell vectors:
Tb 0.563 0.456 0.259
Tb 0.981 0.456 0.741
Tb 0.437 0.544 0.741
Tb 0.019 0.544 0.259
Pm 0.178 0.000 0.096
Pm 0.822 0.000 0.904
Pm 0.653 0.000 0.591
Pm 0.347 0.000 0.409
Co 0.876 0.248 0.500
Co 0.124 0.752 0.500

Summary:
The value obtained for the calculated total energy is -52.11 eV for the cell shown. As for the space group: C2/m (12). For the calculated volume, the calculation gives 289.14 Å³ per cell. The size of the total moment comes out at 0.00 Bohr magnetons per cell. Its crystal system is monoclinic. The formation energy is -0.038 eV/atom.

=====

Material: Ce2Ni4BiSb3
Method: DFT, PBE-GGA
State: relaxed

a = 4.535 Å, b = 4.535 Å, c = 9.961 Å
α = 90.00°, β = 90.00°, γ = 90.00°
Sites, in units of the cell vectors:
Ce 0.500 0.000 0.230
Ce 0.000 0.500 0.770
Ni 0.500 0.500 0.000
Ni 0.000 0.000 0.000
Ni 0.500 0.000 0.628
Ni 0.000 0.500 0.372
Bi 0.500 0.500 0.500
Sb 0.000 0.000 0.500
Sb 0.500 0.000 0.876
Sb 0.000 0.500 0.124

Summary:
The value obtained for the calculated total energy is -56.67 eV for the cell shown. As for the space group: P-4m2 (115). For the calculated volume, the calculation gives 204.87 Å³ per cell. The size of the total moment comes out at 1.43 Bohr magnetons per cell. Its crystal system is tetragonal.

=====

Material: SrTiCu2
Method: DFT, PBE-GGA
State: relaxed

a = 4.833 Å, b = 4.833 Å, c = 4.833 Å
α = 60.00°, β = 60.00°, γ = 60.00°
Sites, in units of the cell vectors:
Sr 0.500 0.500 0.500
Cu 0.250 0.250 0.250
Cu 0.750 0.750 0.750
Ti 0.000 0.000 0.000

Summary:
The value obtained for the calculated total energy is -16.22 eV for the cell shown. As for the space group: Fm-3m (225). For the calculated volume, the calculation gives 79.83 Å³ per cell. The size of the total moment comes out at 0.00 Bohr magnetons per cell. Its crystal system is cubic. The formation energy is 0.386 eV/atom.